Density functional theory data (PBE) for a relaxed structure of CoNi2RhAu.

Cell lengths 4.2066, 4.2066, 4.6685 Å; angles 90.00, 90.00, 90.00 degrees
Element x y z (fractional)
Co 0.0000 0.0000 0.0000
Ni 0.0000 0.5000 0.0000
Ni 0.5000 0.0000 0.0000
Rh 0.5000 0.5000 0.5000
Au 0.0000 0.0000 0.5000

Summary:
Volume, Å³ per atom: 16.5
Symmetry: P4/mmm (123)
ΔH_f (0 K), eV per atom: 1.102